First-principles (PBE) data for an optimized crystal structure of Pr2HoMg3AgHg2, as listed in the Open Quantum Materials Database.

Values from the calculation:
For the total moment, the calculation gives 0.00 μB per atom. The total energy is -0.2075 Ry per atom.

a = 4.256 Å, b = 7.920 Å, c = 7.920 Å
α = 120.02°, β = 90.00°, γ = 90.00°
Atoms (fractional coordinates):
Pr1 0.000 0.205 0.795
Pr2 0.000 0.795 0.205
Ho1 0.000 0.613 0.613
Mg1 0.500 0.210 0.448
Mg2 0.500 0.448 0.210
Mg3 0.500 0.962 0.962
Ag1 0.000 0.212 0.212
Hg1 0.500 0.542 0.863
Hg2 0.500 0.863 0.542